Record 1
PmMgZn17, optimized geometry, DFT PBE; total moment = 0.0 μB/f.u.; energy relative to the elements = -0.133 eV per atom
1.0
6.761 0.043 0.845
0.751 6.719 0.845
0.047 0.043 6.813
Zn Mg Pm
17 1 1
direct
0.989 0.502 0.989
0.693 0.004 0.296
0.296 0.004 0.693
0.107 0.107 0.107
0.693 0.296 0.004
0.164 0.647 0.647
0.004 0.693 0.296
0.348 0.348 0.845
0.348 0.845 0.348
0.296 0.693 0.004
0.502 0.989 0.989
0.647 0.164 0.647
0.902 0.902 0.902
0.004 0.296 0.693
0.845 0.348 0.348
0.989 0.989 0.502
0.647 0.647 0.164
0.366 0.366 0.366
0.661 0.661 0.661

---

Record 2
Pm2MgZn2, optimized geometry, DFT PBE; total moment = 0.5 μB/f.u.; energy relative to the elements = -0.253 eV per atom
1.0
3.619 0.000 0.000
0.000 4.396 -1.250
0.000 -0.163 7.782
Zn Pm Mg
2 2 1
direct
0.000 0.799 0.597
0.000 0.201 0.403
0.500 0.628 0.257
0.500 0.372 0.743
0.000 0.000 0.000

---

Record 3
Pm3Mg3Zn8, optimized geometry, DFT PBE; total moment = 0.0 μB/f.u.; energy relative to the elements = -0.299 eV per atom
1.0
4.380 0.000 1.193
1.473 7.786 3.230
0.026 0.507 8.542
Mg Pm Zn
3 3 8
direct
0.000 0.205 0.795
0.000 0.795 0.205
0.500 0.000 0.000
0.205 0.795 0.795
0.500 0.500 0.500
0.795 0.205 0.205
0.646 0.628 0.081
0.835 0.802 0.528
0.354 0.919 0.372
0.165 0.472 0.198
0.646 0.081 0.628
0.165 0.198 0.472
0.835 0.528 0.802
0.354 0.372 0.919

---

Record 4
PmMg2Zn9, optimized geometry, DFT PBE; total moment = 0.0 μB/f.u.; energy relative to the elements = -0.203 eV per atom
1.0
-3.355 -1.512 -3.846
1.459 -3.752 -3.482
-3.774 -7.683 2.630
Zn Mg Pm
9 2 1
direct
0.080 0.588 0.743
0.412 0.412 0.257
0.412 0.920 0.257
0.500 0.500 0.500
0.920 0.412 0.257
0.334 0.334 0.999
0.588 0.588 0.743
0.666 0.666 0.001
0.588 0.080 0.743
0.141 0.141 0.576
0.859 0.859 0.424
0.000 0.000 0.000